Here is a relaxed Tb6Al5Ag crystal from Alexandria. Energies are from PBE.

Results
SG = Cmmm (65)
calculated density = 6.91 Mg/m³
ΔH_f (0 K) = -373 meV per atom
Fermi-level density of states = 7.91 states/eV/cell

```
Tb6Al5Ag
1.0
-1.750 3.647 3.166
-1.747 -5.079 4.885
6.130 2.447 4.736
Tb Al Ag
6 5 1
Cartesian
-0.725 0.047 7.879
0.147 2.583 5.440
-1.312 0.552 2.806
-2.185 -1.984 5.245
2.486 -1.569 7.348
3.358 0.968 4.908
2.048 1.523 7.711
1.437 2.029 2.624
-0.874 -2.540 2.442
2.943 4.064 5.279
0.585 -0.509 5.076
0.000 0.000 0.000
```